First-principles (PBE) data for crystalline BeGeI2O at its relaxed geometry, as listed in the Alexandria database.

## Properties
- energy above the most stable polymorph in this dataset (eV per formula unit) = 3.989
- E_tot (eV for the cell shown) = -15.17
- volume (Å³ per atom) = 24.75

Lattice parameters (Å, degrees): 5.747 5.747 3.746 90.00 90.00 90.00
Atoms (fractional coordinates):
O (0.000, 0.000, 0.500)
I (0.000, 0.500, 0.000)
Ge (0.000, 0.000, 0.000)
I (0.500, 0.000, 0.000)
Be (0.500, 0.500, 0.500)

---

First-principles (PBE) data for crystalline BeGePd2I at its relaxed geometry, as listed in the Alexandria database.

## Properties
- E_tot (eV for the cell shown) = -19.10
- volume (Å³ per atom) = 18.38

Lattice parameters (Å, degrees): 4.595 4.354 4.595 90.00 90.00 90.00
Atoms (fractional coordinates):
Ge (0.000, 0.500, 0.000)
Pd (0.000, 0.000, 0.500)
Pd (0.500, 0.000, 0.000)
Be (0.000, 0.000, 0.000)
I (0.500, 0.500, 0.500)

---

First-principles (PBE) data for crystalline RbBe2GeI8 at its relaxed geometry, as listed in the Alexandria database.

## Properties
- E_tot (eV for the cell shown) = -31.84
- volume (Å³ per atom) = 39.54

Lattice parameters (Å, degrees): 7.097 7.097 11.626 72.23 72.23 60.00
Atoms (fractional coordinates):
I (0.953, 0.609, 0.163)
Ge (0.000, 0.000, 0.000)
I (0.725, 0.047, 0.837)
I (0.815, 0.815, 0.554)
I (0.391, 0.725, 0.837)
I (0.185, 0.185, 0.446)
I (0.047, 0.391, 0.837)
I (0.609, 0.275, 0.163)
Rb (0.500, 0.500, 0.500)
Be (0.742, 0.742, 0.773)
I (0.275, 0.953, 0.163)
Be (0.258, 0.258, 0.227)

---

First-principles (PBE) data for crystalline RbBeGeI2 at its relaxed geometry, as listed in the Alexandria database.

## Properties
- E_tot (eV for the cell shown) = -13.54
- volume (Å³ per atom) = 32.01

Lattice parameters (Å, degrees): 6.037 4.392 6.037 90.00 90.00 90.00
Atoms (fractional coordinates):
Be (0.000, 0.000, 0.000)
I (0.500, 0.000, 0.000)
Rb (0.500, 0.500, 0.500)
Ge (0.000, 0.500, 0.000)
I (0.000, 0.000, 0.500)

---

First-principles (PBE) data for crystalline BeGeSb2I at its relaxed geometry, as listed in the Alexandria database.

## Properties
- energy above the most stable polymorph in this dataset (eV per formula unit) = 0.000
- E_tot (eV for the cell shown) = -15.20
- volume (Å³ per atom) = 25.70

Lattice parameters (Å, degrees): 4.950 4.950 5.244 90.00 90.00 90.00
Atoms (fractional coordinates):
Ge (0.500, 0.500, 0.500)
Sb (0.000, 0.500, 0.000)
Sb (0.500, 0.000, 0.000)
Be (0.000, 0.000, 0.000)
I (0.000, 0.000, 0.500)

---

First-principles (PBE) data for crystalline BeGeSb2I at its relaxed geometry, as listed in the Alexandria database.

## Properties
- energy above the most stable polymorph in this dataset (eV per formula unit) = 2.442
- E_tot (eV for the cell shown) = -12.76
- volume (Å³ per atom) = 32.89

Lattice parameters (Å, degrees): 5.389 5.389 5.664 90.00 90.00 90.00
Atoms (fractional coordinates):
Ge (0.000, 0.000, 0.000)
Be (0.500, 0.500, 0.500)
Sb (0.500, 0.000, 0.000)
Sb (0.000, 0.500, 0.000)
I (0.000, 0.000, 0.500)

---

First-principles (PBE) data for crystalline BeGeTe2I at its relaxed geometry, as listed in the Alexandria database.

## Properties
- energy above the most stable polymorph in this dataset (eV per formula unit) = 0.000
- E_tot (eV for the cell shown) = -14.17
- volume (Å³ per atom) = 26.53

Lattice parameters (Å, degrees): 5.075 5.075 5.151 90.00 90.00 90.00
Atoms (fractional coordinates):
Te (0.500, 0.000, 0.000)
I (0.000, 0.000, 0.500)
Ge (0.500, 0.500, 0.500)
Te (0.000, 0.500, 0.000)
Be (0.000, 0.000, 0.000)

---

First-principles (PBE) data for crystalline BeGeTe2I at its relaxed geometry, as listed in the Alexandria database.

## Properties
- energy above the most stable polymorph in this dataset (eV per formula unit) = 2.311
- E_tot (eV for the cell shown) = -11.86
- volume (Å³ per atom) = 33.34

Lattice parameters (Å, degrees): 5.443 5.443 5.628 90.00 90.00 90.00
Atoms (fractional coordinates):
Te (0.500, 0.000, 0.000)
Be (0.500, 0.500, 0.500)
I (0.000, 0.000, 0.500)
Ge (0.000, 0.000, 0.000)
Te (0.000, 0.500, 0.000)